Entry from the Alexandria database: crystalline TiGaAg at its relaxed geometry (PBE-GGA).

Its space group is No. 38. The crystal system is orthorhombic. The spin magnetization is 0.0 μB per formula unit. Its total energy is -4.762 eV per atom. The formation energy comes out at -171 meV per atom.

abc: 4.5428 7.3452 3.1076
angles: 77.77 90.00 90.01
Element x y z (fractional)
1 Ga 0.4643 0.0613 0.1566
2 Ga 0.4641 0.7420 0.8159
3 Ag 0.4639 0.4182 0.4786
4 Ag 0.9639 0.3281 0.0235
5 Ti 0.9641 0.6815 0.3461
6 Ti 0.9642 0.9934 0.6905

Entry from the Alexandria database: crystalline TiGaAg at its relaxed geometry (PBE-GGA).

Its space group is No. 63. The crystal system is orthorhombic. The spin magnetization is 0.0 μB per formula unit. Its total energy is -4.659 eV per atom. The formation energy comes out at -68 meV per atom.

abc: 4.0606 2.9321 9.8121
angles: 90.00 101.94 90.00
Element x y z (fractional)
1 Ti 0.7060 0.7500 0.4120
2 Ti 0.2940 0.2500 0.5880
3 Ag 0.5636 0.2500 0.1272
4 Ag 0.4364 0.7500 0.8728
5 Ga 0.8479 0.7500 0.6957
6 Ga 0.1521 0.2500 0.3043